Material: Be2FeNi
Method: DFT, PBE-GGA
State: relaxed

Properties
D(E_F) in states/eV/atom: 0.56
Electronic total energy in eV per atom: -5.7406
Energy above the most stable polymorph in this dataset in meV per atom: 0
Calculated formation energy in meV/atom: -316

Cell: 2.570 2.570 5.501 Å, 90.00 90.00 90.00°
Sites, in units of the cell vectors:
Be (0.000, 0.000, 0.237)
Be (0.000, 0.000, 0.763)
Fe (0.500, 0.500, 0.500)
Ni (0.500, 0.500, 0.000)